Record 1
Crystalline FeHRh3 at its relaxed geometry, computed with GGA-PBE.

Structure (extended XYZ):
```
10
Lattice="-2.780 0.165 3.759 4.090 -0.821 2.068 -1.236 5.232 2.726" Properties=species:S:1:pos:R:3 pbc="T T T"
H 2.671 4.003 4.819
H -0.970 0.447 4.531
Rh -1.273 4.047 6.859
Rh 0.951 3.149 5.714
Rh 2.974 0.402 2.491
Rh 0.751 1.301 3.638
Rh -1.464 2.265 4.885
Rh -0.925 3.006 2.398
Fe -0.763 4.776 4.441
Fe -1.625 0.495 2.842
```

Values from the calculation:
Space group   P-1, No. 2
Offset from the most stable computed form   0.137 eV/atom
Magnetic moment   0.0 μB/f.u.

=====

Record 2
Crystalline FeHRh3 at its relaxed geometry, computed with GGA-PBE.

Structure (extended XYZ):
```
20
Lattice="0.000 5.064 5.064 5.064 0.000 5.064 5.064 5.064 0.000" Properties=species:S:1:pos:R:3 pbc="T T T"
H 1.266 1.266 1.266
H 3.798 1.266 3.798
H 1.266 3.798 3.798
H 3.798 3.798 1.266
Rh 2.020 5.064 5.064
Rh 4.552 2.532 2.532
Rh 2.532 2.532 4.552
Rh 0.512 2.532 2.532
Rh 2.532 0.512 2.532
Rh 5.064 8.109 5.064
Rh 2.532 4.552 2.532
Rh 2.532 2.532 0.512
Rh 5.064 2.020 5.064
Rh 8.109 5.064 5.064
Rh 5.064 5.064 2.020
Rh 5.064 5.064 8.109
Fe 6.330 6.330 6.330
Fe 3.798 6.330 3.798
Fe 6.330 3.798 3.798
Fe 3.798 3.798 6.330
```

Values from the calculation:
Space group   Fd-3m, No. 227
Offset from the most stable computed form   0.590 eV/atom
Magnetic moment   0.1 μB/f.u.

=====

Record 3
Crystalline Fe2H2Rh5 at its relaxed geometry, computed with GGA-PBE.

Structure (extended XYZ):
```
9
Lattice="-0.575 -0.804 3.703 0.658 -3.854 -2.718 5.893 1.142 1.162" Properties=species:S:1:pos:R:3 pbc="T T T"
Fe 3.925 -0.150 2.560
Fe 2.052 -3.366 -0.412
H 4.941 -1.872 2.344
H 1.035 -1.644 -0.196
Rh 0.726 -2.052 1.651
Rh 5.250 -1.464 0.497
Rh 3.329 -2.835 1.884
Rh 2.648 -0.681 0.263
Rh 0.000 0.000 0.000
```

Values from the calculation:
Space group   C2/m, No. 12
Magnetic moment   6.7 μB/f.u.
Raw total energy   -6.715 eV/atom

=====

Record 4
Crystalline FeH6Rh3 at its relaxed geometry, computed with GGA-PBE.

Structure (extended XYZ):
```
10
Lattice="4.013 0.005 2.069 1.474 3.727 2.071 -0.045 -0.029 5.005" Properties=species:S:1:pos:R:3 pbc="T T T"
Fe 0.118 0.086 4.688
H 1.912 0.682 4.330
H 1.877 2.897 5.082
H 3.721 1.531 5.539
H 2.346 -0.001 2.233
H 0.321 0.792 1.444
H 1.704 2.180 2.660
Rh 3.263 2.220 3.521
Rh 1.991 1.357 5.988
Rh 4.470 3.039 6.094
```

Values from the calculation:
Space group   P1, No. 1
Magnetic moment   3.9 μB/f.u.
Raw total energy   -5.014 eV/atom

=====

Record 5
Crystalline FeHRh3 at its relaxed geometry, computed with GGA-PBE.

Structure (extended XYZ):
```
10
Lattice="4.081 0.000 2.625 -2.041 3.535 2.625 -2.041 -3.535 2.625" Properties=species:S:1:pos:R:3 pbc="T T T"
H 0.000 0.000 1.969
H 0.000 0.000 5.906
Rh 2.342 1.004 4.594
Rh -0.302 -2.531 4.594
Rh -2.041 1.527 4.594
Rh 2.041 -1.527 3.281
Rh 0.302 2.531 3.281
Rh -2.342 -1.004 3.281
Fe 0.000 0.000 0.000
Fe 0.000 0.000 3.937
```

Values from the calculation:
Space group   R-3c, No. 167
Offset from the most stable computed form   0.317 eV/atom
Magnetic moment   0.0 μB/f.u.

=====

Record 6
Crystalline FeHRh3 at its relaxed geometry, computed with GGA-PBE.

Structure (extended XYZ):
```
5
Lattice="4.143 0.000 1.434 -2.071 3.588 1.434 -2.071 -3.588 1.434" Properties=species:S:1:pos:R:3 pbc="T T T"
H 0.000 0.000 1.523
Rh 0.808 -1.399 2.221
Rh -1.615 0.000 2.221
Rh 0.808 1.399 2.221
Fe 0.000 0.000 4.177
```

Values from the calculation:
Space group   R3m, No. 160
Offset from the most stable computed form   0.381 eV/atom
Magnetic moment   2.6 μB/f.u.

=====

Record 7
Crystalline FeH4Rh4 at its relaxed geometry, computed with GGA-PBE.

Structure (extended XYZ):
```
9
Lattice="3.672 0.000 1.472 1.806 4.471 0.810 0.172 -0.077 4.887" Properties=species:S:1:pos:R:3 pbc="T T T"
Fe 0.000 0.000 0.000
H 4.180 1.792 5.518
H 1.469 2.603 1.651
H 2.673 3.486 3.963
H 2.976 0.909 3.206
Rh 3.338 2.671 2.303
Rh 2.311 1.724 4.865
Rh 1.166 0.817 2.407
Rh 4.484 3.577 4.761
```

Values from the calculation:
Space group   I4/m, No. 87
Magnetic moment   4.6 μB/f.u.
Raw total energy   -5.692 eV/atom

=====

Record 8
Crystalline FeHRh at its relaxed geometry, computed with GGA-PBE.

Structure (extended XYZ):
```
6
Lattice="-2.202 1.277 -3.618 -3.339 -3.103 1.063 -1.323 1.933 1.487" Properties=species:S:1:pos:R:3 pbc="T T T"
H -4.026 -1.210 -0.004
H -3.018 1.308 0.208
Rh -2.297 1.224 -1.628
Rh -2.416 -0.540 0.558
Fe -4.724 0.649 -0.451
Fe -4.651 -1.135 1.931
```

Values from the calculation:
Space group   P2/m, No. 10
Magnetic moment   3.2 μB/f.u.
Raw total energy   -6.427 eV/atom

=====

Record 9
Crystalline FeH2Rh3 at its relaxed geometry, computed with GGA-PBE.

Structure (extended XYZ):
```
12
Lattice="2.740 0.000 0.450 1.319 5.095 0.534 -0.004 0.058 8.590" Properties=species:S:1:pos:R:3 pbc="T T T"
Fe 3.090 2.616 6.890
Fe 0.966 2.537 2.685
H 1.500 3.219 8.002
H 2.556 1.934 1.572
H 3.209 4.444 6.165
H 0.847 0.709 3.409
Rh 1.631 4.987 7.203
Rh 2.425 0.166 2.372
Rh 1.396 1.431 8.632
Rh 2.659 3.722 0.942
Rh 2.007 1.253 4.916
Rh 2.049 3.900 4.658
```

Values from the calculation:
Space group   C2/m, No. 12
Magnetic moment   4.6 μB/f.u.
Raw total energy   -6.201 eV/atom

=====

Record 10
Crystalline Fe4H3Rh at its relaxed geometry, computed with GGA-PBE.

Structure (extended XYZ):
```
16
Lattice="4.597 0.000 0.000 -2.298 4.246 -1.754 0.000 0.032 6.856" Properties=species:S:1:pos:R:3 pbc="T T T"
Fe 0.739 0.880 6.095
Fe 3.857 0.864 2.668
Fe 1.484 1.698 3.700
Fe 3.113 1.683 0.272
Fe -0.787 2.552 4.663
Fe 0.787 2.536 1.235
Fe -1.535 3.412 2.274
Fe 1.535 3.397 -1.154
H 2.292 1.712 5.440
H 2.305 1.696 2.012
H -0.003 2.518 2.964
H 0.003 2.503 -0.464
H 2.331 3.437 3.983
H 2.266 3.421 0.555
Rh 3.046 0.027 5.043
Rh 1.551 0.012 1.615
```

Values from the calculation:
Space group   Cc, No. 9
Magnetic moment   9.8 μB/f.u.
Raw total energy   -6.397 eV/atom

=====

Record 11
Crystalline FeHRh3 at its relaxed geometry, computed with GGA-PBE.

Structure (extended XYZ):
```
10
Lattice="4.679 0.005 0.006 -0.793 4.593 -0.001 -1.598 -0.261 5.155" Properties=species:S:1:pos:R:3 pbc="T T T"
H 1.820 0.731 0.752
H 3.295 1.772 2.992
Rh 1.631 2.282 3.902
Rh -0.645 3.518 3.256
Rh 0.093 3.656 0.588
Rh 2.430 2.476 1.212
Rh 0.092 1.259 1.868
Rh 2.460 0.052 2.618
Fe -0.708 1.104 4.509
Fe 1.701 -0.052 5.078
```

Values from the calculation:
Space group   P1, No. 1
Offset from the most stable computed form   0.142 eV/atom
Magnetic moment   0.0 μB/f.u.

=====

Record 12
Crystalline FeHRh3 at its relaxed geometry, computed with GGA-PBE.

Structure (extended XYZ):
```
10
Lattice="2.639 -6.091 0.000 2.639 6.091 0.000 0.000 0.000 4.700" Properties=species:S:1:pos:R:3 pbc="T T T"
H 2.639 1.004 1.175
H 2.639 -1.004 3.525
Rh 4.007 2.094 1.175
Rh 1.271 2.094 1.175
Rh 4.007 -2.094 3.525
Rh 1.271 -2.094 3.525
Rh 0.000 0.000 0.000
Rh 0.000 0.000 2.350
Fe 2.639 3.979 1.175
Fe 2.639 -3.979 3.525
```

Values from the calculation:
Space group   Cmcm, No. 63
Offset from the most stable computed form   0.709 eV/atom
Magnetic moment   0.0 μB/f.u.

=====

Record 13
Crystalline FeHRh3 at its relaxed geometry, computed with GGA-PBE.

Structure (extended XYZ):
```
5
Lattice="-0.150 -1.899 -3.374 1.907 -2.975 1.589 -3.369 -1.600 1.050" Properties=species:S:1:pos:R:3 pbc="T T T"
H 0.000 0.000 0.000
Rh 0.954 -1.487 0.795
Rh -1.685 -0.800 0.525
Rh -0.075 -0.949 -1.687
Fe -0.806 -3.237 -0.368
```

Values from the calculation:
Space group   Pm-3m, No. 221
Offset from the most stable computed form   0.000 eV/atom
Magnetic moment   4.2 μB/f.u.

=====

Record 14
Crystalline FeHRh3 at its relaxed geometry, computed with GGA-PBE.

Structure (extended XYZ):
```
10
Lattice="2.478 -1.431 0.000 0.000 2.862 0.000 0.000 0.000 16.945" Properties=species:S:1:pos:R:3 pbc="T T T"
H 0.826 1.431 12.708
H 1.652 0.000 4.236
Rh 0.000 0.000 4.236
Rh 0.000 0.000 12.708
Rh 0.826 1.431 14.994
Rh 0.826 1.431 10.423
Rh 1.652 0.000 6.522
Rh 1.652 0.000 1.951
Fe 0.000 0.000 0.000
Fe 0.000 0.000 8.472
```

Values from the calculation:
Space group   P6_3/mmc, No. 194
Offset from the most stable computed form   0.187 eV/atom
Magnetic moment   3.2 μB/f.u.

=====

Record 15
Crystalline FeHRh at its relaxed geometry, computed with GGA-PBE.

Structure (extended XYZ):
```
12
Lattice="-0.396 -4.813 1.111 0.260 -0.963 -4.080 5.673 -0.364 0.447" Properties=species:S:1:pos:R:3 pbc="T T T"
H 3.210 -4.902 0.281
H 0.639 -3.549 -2.365
H 2.327 -1.238 -2.803
H 4.897 -2.591 -0.157
Rh 2.047 -0.866 -0.746
Rh 4.897 -2.945 -2.236
Rh 3.490 -5.274 -1.776
Rh 0.640 -3.195 -0.286
Fe 5.123 -0.897 -0.543
Fe 2.273 -2.943 -2.404
Fe 0.414 -5.243 -1.979
Fe 3.264 -3.197 -0.118
```

Values from the calculation:
Space group   Pnma, No. 62
Magnetic moment   3.2 μB/f.u.
Raw total energy   -6.304 eV/atom

=====

Record 16
Crystalline FeHRh3 at its relaxed geometry, computed with GGA-PBE.

Structure (extended XYZ):
```
20
Lattice="-0.469 -4.682 1.368 6.793 -0.021 2.256 -2.156 2.118 6.511" Properties=species:S:1:pos:R:3 pbc="T T T"
H 0.219 -1.472 5.006
H 4.522 -4.247 3.376
H 3.950 -1.113 5.129
H -0.354 1.662 6.759
Rh 4.437 1.570 7.610
Rh 1.922 -1.438 3.799
Rh -0.425 -1.431 3.020
Rh 2.078 -4.163 3.304
Rh -0.269 -4.155 2.525
Rh 2.246 -1.147 6.336
Rh 4.593 -1.154 7.115
Rh 2.090 1.577 6.831
Rh 0.093 0.277 5.398
Rh 4.569 -0.777 3.266
Rh 4.075 -2.862 4.736
Rh -0.401 -1.808 6.868
Fe -1.078 1.059 3.256
Fe 3.162 -2.352 1.812
Fe -0.234 -2.341 0.684
Fe 2.318 1.048 4.384
```

Values from the calculation:
Space group   Pnma, No. 62
Offset from the most stable computed form   0.310 eV/atom
Magnetic moment   3.7 μB/f.u.

=====

Record 17
Crystalline Fe3H4Rh at its relaxed geometry, computed with GGA-PBE.

Structure (extended XYZ):
```
8
Lattice="2.728 -0.035 0.045 0.037 4.523 1.319 -0.073 0.261 4.704" Properties=species:S:1:pos:R:3 pbc="T T T"
Fe 1.327 0.113 2.374
Fe 2.654 0.226 4.748
Fe 2.710 2.357 3.056
H 2.703 3.643 4.490
H 1.371 3.493 2.254
H 2.716 1.071 1.622
H 1.321 1.256 3.813
Rh 1.309 2.505 5.385
```

Values from the calculation:
Space group   Cmmm, No. 65
Offset from the most stable computed form   0.009 eV/atom
Magnetic moment   7.2 μB/f.u.

=====

Record 18
Crystalline FeH7Rh3 at its relaxed geometry, computed with GGA-PBE.

Structure (extended XYZ):
```
11
Lattice="1.135 -3.546 2.120 3.771 0.049 -2.034 4.160 0.618 3.174" Properties=species:S:1:pos:R:3 pbc="T T T"
Fe 4.183 0.547 3.128
H 1.658 -0.298 0.794
H 2.229 -2.043 1.858
H 5.517 -2.567 3.429
H 3.533 -0.263 -0.198
H 4.144 -1.980 0.915
H 6.785 -0.837 1.430
H 7.407 -2.609 2.441
Rh 3.857 -2.336 2.670
Rh 2.488 -1.763 0.053
Rh 5.180 -0.530 0.584
```

Values from the calculation:
Space group   Cm, No. 8
Magnetic moment   3.2 μB/f.u.
Raw total energy   -4.868 eV/atom

=====

Record 19
Crystalline FeHRh at its relaxed geometry, computed with GGA-PBE.

Structure (extended XYZ):
```
3
Lattice="2.742 0.000 0.000 -1.371 2.375 0.000 0.000 0.000 4.367" Properties=species:S:1:pos:R:3 pbc="T T T"
H 1.371 0.792 1.366
Rh 0.000 1.583 2.641
Fe 0.000 0.000 0.360
```

Values from the calculation:
Space group   P3m1, No. 156
Magnetic moment   3.1 μB/f.u.
Raw total energy   -6.412 eV/atom

=====

Record 20
Crystalline Fe3H3Rh at its relaxed geometry, computed with GGA-PBE.

Structure (extended XYZ):
```
14
Lattice="3.817 0.000 0.000 0.000 5.321 -0.816 0.000 0.766 5.328" Properties=species:S:1:pos:R:3 pbc="T T T"
Fe 2.863 2.092 0.377
Fe 2.863 4.761 -0.060
Fe 2.863 5.118 2.621
Fe 0.954 3.995 4.135
Fe 0.954 1.326 4.572
Fe 0.954 0.969 1.892
H 0.954 2.064 0.331
H 0.954 4.772 -0.075
H 0.954 5.170 2.633
H 2.863 4.023 4.182
H 2.863 1.315 4.587
H 2.863 0.917 1.879
Rh 0.954 3.627 1.468
Rh 2.863 2.459 3.044
```

Values from the calculation:
Space group   Cmcm, No. 63
Magnetic moment   7.4 μB/f.u.
Raw total energy   -6.114 eV/atom